No. 1
The following is a DFT calculation (PBE) of crystalline Ba3Ga2Sn4 at its relaxed geometry.

Cell: 7.096 7.096 9.803 Å, 106.40 106.40 39.05°
Fractional coordinates of all 9 atoms:
Ba1 0.000 0.000 0.000
Ba2 0.386 0.386 0.317
Ba3 0.614 0.614 0.683
Ga1 0.292 0.292 0.650
Ga2 0.708 0.708 0.350
Sn1 0.109 0.109 0.392
Sn2 0.293 0.293 0.943
Sn3 0.707 0.707 0.057
Sn4 0.891 0.891 0.608

Summary:
**SG**: C2/m (12)
**Relative energy among the computed polymorphs**: 0.07 eV per formula unit
**DFT formation energy**: -0.55 eV per atom

***

No. 2
The following is a DFT calculation (PBE) of crystalline BaGa3Sn at its relaxed geometry.

Cell: 5.864 5.864 5.864 Å, 90.00 90.00 90.00°
Fractional coordinates of all 5 atoms:
Ba1 0.000 0.000 0.000
Ga1 0.000 0.000 0.500
Ga2 0.000 0.500 0.000
Ga3 0.500 0.000 0.000
Sn1 0.500 0.500 0.500

Summary:
**SG**: Pm-3m (221)
**Relative energy among the computed polymorphs**: 6.68 eV per formula unit
**DFT formation energy**: 0.92 eV per atom

***

Calculated values (Bohr magnetons per cell) of spin magnetization for the records, taken in order: 0.00, 0.00.